1.
PBE-GGA K2NpNbO6, optimized geometry; ρ = 5.7 Mg/m³; total DFT energy (no corrections) = -8.04 eV/atom
1.0
-0.277 -4.759 -3.488
1.265 -3.458 4.618
-8.150 -0.750 1.671
K Np O Nb
4 2 12 2
Cartesian
-1.227 -5.160 2.137
-5.796 -1.427 2.408
-1.721 -1.052 1.572
-5.302 -5.535 2.972
-3.897 -3.618 0.245
0.949 -2.594 3.464
-5.109 -3.151 4.705
-3.028 -7.410 2.783
-1.143 -2.786 3.892
-1.806 -3.426 -0.183
-5.989 -3.811 0.675
0.553 -2.929 1.385
-0.197 -3.561 -2.562
-3.644 -5.726 0.534
-3.502 -3.284 2.324
0.418 -5.245 -0.313
-2.886 -4.968 4.572
-0.062 -1.244 -0.863
0.178 -3.244 -0.589
-3.127 -2.968 4.298


2.
PBE-GGA KNp2NbO8, optimized geometry; ρ = 6.9 Mg/m³; total DFT energy (no corrections) = -8.98 eV/atom
1.0
-0.145 -4.775 1.670
1.381 -1.827 -4.506
6.689 0.450 1.868
Nb O K Np
1 8 1 2
Cartesian
0.000 0.000 0.000
4.167 -4.154 -0.957
5.508 -3.815 1.893
7.044 -1.454 1.053
2.417 -2.336 -2.861
3.758 -1.998 -0.011
1.518 -4.084 0.779
6.407 -2.068 -1.747
0.880 -4.697 -2.022
3.344 0.225 0.934
5.660 -2.961 -0.010
2.264 -3.190 -0.958